First-principles (GGA-PBE) data for a geometry-optimized KNp2F9 structure, as listed in the Alexandria database.

Lattice parameters (Å, degrees): 7.7998 7.7998 3.6056 90.00 90.00 120.00
Space group P6/mmm (No. 191)
Inequivalent atoms, fractional coordinates:
1 K 0.0000 0.0000 0.0000
2 Np 0.3333 0.6667 0.0000
3 F 0.0000 0.5000 0.0000
4 F 0.2208 0.4416 0.5000

Calculated values
Magnetic moment, μB per formula unit: 6.00
Total energy, eV per atom: -6.905
E_form (uncorrected), eV/f.u.: -39.0

First-principles (GGA-PBE) data for a geometry-optimized K5Np2F12 structure, as listed in the Alexandria database.

Lattice parameters (Å, degrees): 13.824 8.106 7.593 90.00 121.45 90.00
Space group C2/m (No. 12)
Inequivalent atoms, fractional coordinates:
1 K 0.000 0.000 0.000
2 K 0.203 0.500 0.021
3 K 0.232 0.500 0.507
4 Np 0.000 0.247 0.500
5 F 0.002 0.500 0.333
6 F 0.082 0.000 0.694
7 F 0.089 0.204 0.321
8 F 0.188 0.295 0.743

Calculated values
Magnetic moment, μB per formula unit: 7.00
Total energy, eV per atom: -5.966
E_form (uncorrected), eV/f.u.: -59.5

First-principles (GGA-PBE) data for a geometry-optimized K3NpF8 structure, as listed in the Alexandria database.

Lattice parameters (Å, degrees): 5.995 5.995 11.841 90.00 90.00 90.00
Space group I4/mmm (No. 139)
Inequivalent atoms, fractional coordinates:
1 K 0.000 0.000 0.000
2 K 0.000 0.500 0.250
3 Np 0.000 0.000 0.500
4 F 0.212 0.212 0.392

Calculated values
Magnetic moment, μB per formula unit: 2.00
Total energy, eV per atom: -5.728
E_form (uncorrected), eV/f.u.: -37.5

First-principles (GGA-PBE) data for a geometry-optimized K3Np6F20 structure, as listed in the Alexandria database.

Lattice parameters (Å, degrees): 12.263 12.263 12.263 90.00 90.00 90.00
Space group Fm-3m (No. 225)
Inequivalent atoms, fractional coordinates:
1 K 0.000 0.000 0.000
2 K 0.250 0.250 0.250
3 Np 0.000 0.000 0.271
4 F 0.000 0.161 0.161
5 F 0.120 0.120 0.380

Calculated values
Magnetic moment, μB per formula unit: 25.00
Total energy, eV per atom: -7.275
E_form (uncorrected), eV/f.u.: -92.6

First-principles (GGA-PBE) data for a geometry-optimized KNpF6 structure, as listed in the Alexandria database.

Lattice parameters (Å, degrees): 5.8809 5.8809 11.7634 90.00 90.00 120.00
Space group P-31c (No. 163)
Inequivalent atoms, fractional coordinates:
1 K 0.3333 0.6667 0.2500
2 Np 0.0000 0.0000 0.0000
3 F 0.0159 0.2933 0.1042

Calculated values
Magnetic moment, μB per formula unit: 2.00
Total energy, eV per atom: -6.427
E_form (uncorrected), eV/f.u.: -26.2

First-principles (GGA-PBE) data for a geometry-optimized K2NpF4 structure, as listed in the Alexandria database.

Lattice parameters (Å, degrees): 4.756 4.756 14.644 90.00 90.00 90.00
Space group I4/mmm (No. 139)
Inequivalent atoms, fractional coordinates:
1 K 0.000 0.000 0.165
2 Np 0.000 0.000 0.500
3 F 0.000 0.000 0.342
4 F 0.000 0.500 0.000

Calculated values
Magnetic moment, μB per formula unit: 4.35
Total energy, eV per atom: -5.884
E_form (uncorrected), eV/f.u.: -18.6